1.
The following is a PBE calculation of ScCd2Tc after structural relaxation, from Alexandria via LeMat-Bulk.

```
ScCd2Tc
1.0
2.944 0.000 0.000
0.000 2.944 0.000
0.000 0.000 8.828
Sc Cd Tc
1 2 1
Direct
0.000 0.000 0.000
0.500 0.500 0.265
0.500 0.500 0.735
0.000 0.000 0.500
```

Properties
Magnetization = 1.13 μB/f.u.
Energy above the most stable polymorph in this dataset = 0.236 eV per atom
Crystal system = tetragonal
ΔE_f = 0.2150 eV/atom

2.
The following is a PBE calculation of ScCdTc2 after structural relaxation, from Alexandria via LeMat-Bulk.

```
ScCdTc2
1.0
3.945 0.000 0.000
0.000 3.945 0.000
0.000 0.000 4.362
Sc Cd Tc
1 1 2
Direct
0.000 0.000 0.000
0.500 0.500 0.000
0.000 0.500 0.500
0.500 0.000 0.500
```

Properties
Magnetization = 0.00 μB/f.u.
Crystal system = tetragonal
ΔE_f = 0.1614 eV/atom

3.
The following is a PBE calculation of ScCdTc2 after structural relaxation, from Alexandria via LeMat-Bulk.

```
ScCdTc2
1.0
2.937 0.000 0.000
0.000 4.344 0.000
0.000 0.000 5.731
Sc Cd Tc
1 1 2
Direct
0.000 0.000 0.000
0.000 0.000 0.500
0.500 0.500 0.201
0.500 0.500 0.799
```

Properties
Magnetization = 0.00 μB/f.u.
Crystal system = orthorhombic
ΔE_f = 0.2201 eV/atom

4.
The following is a PBE calculation of ScCdTc2 after structural relaxation, from Alexandria via LeMat-Bulk.

```
ScCdTc2
1.0
2.856 0.000 0.000
0.000 4.662 0.000
-0.707 0.000 5.291
Sc Cd Tc
1 1 2
Direct
0.000 0.000 0.000
0.500 0.000 0.500
0.301 0.500 0.784
0.699 0.500 0.216
```

Properties
Magnetization = 0.00 μB/f.u.
Crystal system = monoclinic
ΔE_f = 0.2065 eV/atom

5.
The following is a PBE calculation of ScCd2Tc after structural relaxation, from Alexandria via LeMat-Bulk.

```
ScCd2Tc
1.0
2.824 -4.475 0.000
2.824 4.475 0.000
-0.015 0.000 2.975
Sc Cd Tc
1 2 1
Direct
0.000 0.000 0.000
0.000 0.500 0.500
0.500 0.000 0.500
0.500 0.500 0.000
```

Properties
Magnetization = 0.00 μB/f.u.
Energy above the most stable polymorph in this dataset = 0.142 eV per atom
Crystal system = monoclinic
ΔE_f = 0.1213 eV/atom

6.
The following is a PBE calculation of Sc2Cd2Tc after structural relaxation, from Alexandria via LeMat-Bulk.

```
Sc2Cd2Tc
1.0
7.225 0.000 0.000
0.000 7.225 0.000
0.000 0.000 4.010
Sc Cd Tc
4 4 2
Direct
0.181 0.319 0.000
0.319 0.819 0.000
0.681 0.181 0.000
0.819 0.681 0.000
0.132 0.632 0.500
0.368 0.132 0.500
0.632 0.868 0.500
0.868 0.368 0.500
0.000 0.000 0.500
0.500 0.500 0.500
```

Properties
Magnetization = 0.00 μB/f.u.
Energy above the most stable polymorph in this dataset = 0.000 eV per atom
Crystal system = tetragonal
ΔE_f = 0.2207 eV/atom

Question: Number 5 is which compound?
Answer: ScCd2Tc

Question: Which value of magnetization does entry 2 give?
Answer: 0.00 μB/f.u.

Question: Which value of ΔE_f does entry 6 give?
Answer: 0.2207 eV/atom